[1]
A relaxed structure of SrFe3, computed with PBE-GGA.

abc: 5.5872 5.5872 5.5872
angles: 149.54 126.38 62.93
Fractional positions:
1 Fe 0.0409 0.9574 0.0836
2 Fe 0.6262 0.5426 0.0836
3 Fe 0.8331 0.2500 0.5831
4 Sr 0.3331 0.7500 0.5831

Summary:
Energy relative to the elements (meV/atom): 763
Volume (Å³/cell): 70.5
Raw total energy (eV per atom): -6.004

[2]
A relaxed structure of Pr4Sm3ErTe8, computed with PBE-GGA.

abc: 8.8962 9.0017 8.8956
angles: 119.61 120.00 90.00
Fractional positions:
1 Pr 0.5000 0.0000 0.0000
2 Pr 0.5000 0.0000 0.5000
3 Pr 0.0000 0.0000 0.0000
4 Pr 0.0000 0.0000 0.5000
5 Sm 0.5000 0.5000 0.0000
6 Sm 0.5000 0.5000 0.5000
7 Sm 0.0000 0.5000 0.5000
8 Er 0.0000 0.5000 0.0000
9 Te 0.2436 0.7389 0.9953
10 Te 0.2436 0.7389 0.4871
11 Te 0.2524 0.2572 0.5048
12 Te 0.7517 0.7389 0.9953
13 Te 0.2483 0.2611 0.0047
14 Te 0.7476 0.7428 0.4952
15 Te 0.7564 0.2611 0.5129
16 Te 0.7564 0.2611 0.0047

Summary:
Volume (Å³/cell): 506.7
Raw formation energy (eV per formula unit): -22.2
Raw total energy (eV per atom): -5.323

[3]
A relaxed structure of PrScCoRu, computed with PBE-GGA.

abc: 4.7315 4.7315 4.7315
angles: 60.00 60.00 60.00
Fractional positions:
1 Pr 0.5000 0.5000 0.5000
2 Ru 0.7500 0.7500 0.7500
3 Co 0.2500 0.2500 0.2500
4 Sc 0.0000 0.0000 0.0000

Summary:
Energy relative to the elements (meV/atom): -129
Volume (Å³/cell): 74.9
Raw total energy (eV per atom): -7.002

[4]
A relaxed structure of LaAlSi3, computed with PBE-GGA.

abc: 4.7941 4.7941 4.7941
angles: 90.00 90.00 90.00
Fractional positions:
1 Si 0.0000 0.5000 0.0000
2 Si 0.0000 0.0000 0.5000
3 Si 0.5000 0.0000 0.0000
4 Al 0.0000 0.0000 0.0000
5 La 0.5000 0.5000 0.5000

Summary:
Volume (Å³/cell): 110.2
Raw formation energy (eV per formula unit): 1.0
Raw total energy (eV per atom): -4.791

[5]
A relaxed structure of Sr2ScTl, computed with PBE-GGA.

abc: 6.2256 6.2256 5.1602
angles: 65.52 65.52 49.01
Fractional positions:
1 Sc 0.2500 0.2500 0.2500
2 Sr 0.9999 0.9999 0.0001
3 Sr 0.5001 0.5001 0.4999
4 Tl 0.7500 0.7500 0.7500

Summary:
Energy relative to the elements (meV/atom): 47
Volume (Å³/cell): 134.4
Energy above the most stable polymorph in this dataset (meV/atom): 103
Raw total energy (eV per atom): -2.968

[6]
A relaxed structure of Sr8Zn2Ni, computed with PBE-GGA.

abc: 8.0530 8.1228 8.4035
angles: 92.35 118.63 90.00
Fractional positions:
1 Sr 0.7058 0.2413 0.9109
2 Sr 0.2051 0.2413 0.9109
3 Sr 0.2942 0.7587 0.0891
4 Sr 0.7032 0.3847 0.4065
5 Sr 0.7949 0.7587 0.0891
6 Sr 0.1964 0.1161 0.3928
7 Sr 0.8036 0.8839 0.6072
8 Sr 0.2968 0.6153 0.5935
9 Zn 0.0887 0.4562 0.1774
10 Zn 0.9113 0.5438 0.8226
11 Ni 0.0000 0.0000 0.0000

Summary:
Energy relative to the elements (meV/atom): -26
Volume (Å³/cell): 482.0
Raw total energy (eV per atom): -2.007

[7]
A relaxed structure of In2Au, computed with PBE-GGA.

abc: 3.4474 7.1728 5.9899
angles: 90.00 90.00 90.00
Fractional positions:
1 Au 0.0000 0.0000 0.0000
2 Au 0.5000 0.5000 0.5000
3 In 0.0000 0.1952 0.5878
4 In 0.0000 0.8048 0.4122
5 In 0.5000 0.6952 0.9122
6 In 0.5000 0.3048 0.0878

Summary:
Energy relative to the elements (meV/atom): -144
Volume (Å³/cell): 148.1
Raw total energy (eV per atom): -3.062

[8]
A relaxed structure of Pm2Ho3S8, computed with PBE-GGA.

abc: 6.7209 7.9918 7.9785
angles: 120.06 107.28 90.00
Fractional positions:
1 Pm 0.3422 0.2646 0.5292
2 Pm 0.6578 0.7354 0.4708
3 Ho 0.5000 0.0000 0.0000
4 Ho 0.0000 0.2623 0.0000
5 Ho 0.0000 0.7377 0.0000
6 S 0.9256 0.6200 0.2400
7 S 0.0744 0.3800 0.7600
8 S 0.9250 0.1135 0.2270
9 S 0.0750 0.8865 0.7730
10 S 0.5881 0.6471 0.7575
11 S 0.5881 0.1105 0.7575
12 S 0.4119 0.8895 0.2425
13 S 0.4119 0.3529 0.2425

Summary:
Volume (Å³/cell): 348.4
Raw formation energy (eV per formula unit): -24.6
Raw total energy (eV per atom): -6.223

[9]
A relaxed structure of Th8AgTe4Os3, computed with PBE-GGA.

abc: 8.4620 9.1266 8.4625
angles: 117.62 120.00 90.00
Fractional positions:
1 Th 0.2442 0.7047 0.9607
2 Th 0.2441 0.7047 0.4882
3 Th 0.2660 0.2983 0.5321
4 Th 0.7165 0.7047 0.9607
5 Th 0.2835 0.2953 0.0393
6 Th 0.7340 0.7017 0.4679
7 Th 0.7559 0.2953 0.5118
8 Th 0.7558 0.2953 0.0393
9 Ag 0.0000 0.5000 0.0000
10 Te 0.5000 0.0000 0.0000
11 Te 0.5000 0.0000 0.5000
12 Te 0.0000 0.0000 0.0000
13 Te 0.0000 0.0000 0.5000
14 Os 0.5000 0.5000 0.0000
15 Os 0.5000 0.5000 0.5000
16 Os 0.0000 0.5000 0.5000

Summary:
Volume (Å³/cell): 478.1
Raw formation energy (eV per formula unit): -12.1
Raw total energy (eV per atom): -7.538

[10]
A relaxed structure of MoIBrN2, computed with PBE-GGA.

abc: 4.0676 4.0676 7.1420
angles: 90.00 90.00 90.00
Fractional positions:
1 I 0.0000 0.0000 0.5000
2 Mo 0.5000 0.5000 0.5000
3 Br 0.0000 0.0000 0.0000
4 N 0.0000 0.5000 0.0000
5 N 0.5000 0.0000 0.0000

Summary:
Volume (Å³/cell): 118.2
Raw formation energy (eV per formula unit): 12.2
Energy above the most stable polymorph in this dataset (meV/atom): 1691
Raw total energy (eV per atom): -3.692

[11]
A relaxed structure of Ba3SnF, computed with PBE-GGA.

abc: 7.7372 9.4971 10.0604
angles: 98.98 90.00 90.00
Fractional positions:
1 Ba 0.9947 0.6974 0.5556
2 Ba 0.0053 0.3026 0.4444
3 Ba 0.4947 0.8026 0.9444
4 Ba 0.5053 0.1974 0.0556
5 Ba 0.5054 0.6974 0.5555
6 Ba 0.4946 0.3026 0.4445
7 Ba 0.0054 0.8026 0.9445
8 Ba 0.9946 0.1974 0.0555
9 Ba 0.2501 0.5798 0.1848
10 Ba 0.7499 0.4202 0.8152
11 Ba 0.7501 0.9202 0.3152
12 Ba 0.2499 0.0798 0.6848
13 Sn 0.7500 0.0320 0.6979
14 Sn 0.2500 0.9680 0.3021
15 Sn 0.2500 0.4680 0.8021
16 Sn 0.7500 0.5320 0.1979
17 F 0.2500 0.5220 0.4330
18 F 0.7500 0.4780 0.5670
19 F 0.7500 0.9780 0.0670
20 F 0.2500 0.0220 0.9330

Summary:
Volume (Å³/cell): 730.2
Raw formation energy (eV per formula unit): -6.8
Energy above the most stable polymorph in this dataset (meV/atom): 13
Raw total energy (eV per atom): -3.682

[12]
A relaxed structure of RbInPbAu3, computed with PBE-GGA.

abc: 7.8140 7.2167 7.8457
angles: 117.38 90.00 90.00
Fractional positions:
1 Rb 0.7500 0.2190 0.4380
2 Rb 0.2500 0.7810 0.5620
3 In 0.2500 0.0974 0.1948
4 In 0.7500 0.9026 0.8052
5 Pb 0.2500 0.4905 0.9810
6 Pb 0.7500 0.5095 0.0190
7 Au 0.2500 0.2910 0.5819
8 Au 0.0000 0.2026 0.0000
9 Au 0.5000 0.7974 0.0000
10 Au 0.5000 0.2026 0.0000
11 Au 0.0000 0.7974 0.0000
12 Au 0.7500 0.7090 0.4181

Summary:
Energy relative to the elements (meV/atom): -158
Volume (Å³/cell): 392.9
Raw total energy (eV per atom): -3.032

[13]
A relaxed structure of LaPmPr2P4, computed with PBE-GGA.

abc: 4.2067 7.2807 7.2794
angles: 109.43 90.00 90.00
Fractional positions:
1 La 0.0000 0.0000 0.0000
2 Pm 0.5000 0.5000 0.0000
3 Pr 0.5000 0.0000 0.5000
4 Pr 0.0000 0.5000 0.5000
5 P 0.5000 0.2529 0.2499
6 P 0.5000 0.7471 0.7501
7 P 0.0000 0.2535 0.7521
8 P 0.0000 0.7465 0.2479

Summary:
Energy relative to the elements (meV/atom): -1540
Volume (Å³/cell): 210.3
Raw total energy (eV per atom): -6.650

[14]
A relaxed structure of Dy2Ga5Pd3, computed with PBE-GGA.

abc: 4.3859 6.7297 12.6027
angles: 90.00 100.02 90.00
Fractional positions:
1 Dy 0.4838 0.7505 0.9676
2 Dy 0.1745 0.7270 0.3490
3 Dy 0.8255 0.2270 0.6510
4 Dy 0.5162 0.2505 0.0324
5 Ga 0.3959 0.4164 0.7918
6 Ga 0.2917 0.5178 0.5833
7 Ga 0.7083 0.0178 0.4167
8 Ga 0.1226 0.2597 0.2452
9 Ga 0.2937 0.9231 0.5873
10 Ga 0.9493 0.0669 0.8986
11 Ga 0.7063 0.4231 0.4127
12 Ga 0.8774 0.7597 0.7548
13 Ga 0.0507 0.5669 0.1014
14 Ga 0.6041 0.9164 0.2082
15 Pd 0.7748 0.7180 0.5496
16 Pd 0.6058 0.5208 0.2117
17 Pd 0.0524 0.9646 0.1048
18 Pd 0.2252 0.2180 0.4504
19 Pd 0.9476 0.4646 0.8952
20 Pd 0.3942 0.0208 0.7883

Summary:
Energy relative to the elements (meV/atom): -753
Volume (Å³/cell): 366.3
Energy above the most stable polymorph in this dataset (meV/atom): 10
Raw total energy (eV per atom): -4.745

[15]
A relaxed structure of Ca2ZrW, computed with PBE-GGA.

abc: 5.1068 5.1082 5.1257
angles: 120.04 120.03 89.74
Fractional positions:
1 Ca 0.0000 0.0000 0.0000
2 Ca 0.2500 0.7500 0.5000
3 Zr 0.7500 0.2500 0.5001
4 W 0.5000 0.5000 0.9999

Summary:
Energy relative to the elements (meV/atom): 754
Volume (Å³/cell): 94.7
Energy above the most stable polymorph in this dataset (meV/atom): 367
Raw total energy (eV per atom): -5.622

[16]
A relaxed structure of LiCeSiRu, computed with PBE-GGA.

abc: 4.5559 4.5559 4.5559
angles: 60.00 60.00 60.00
Fractional positions:
1 Ru 0.5000 0.5000 0.5000
2 Si 0.7500 0.7500 0.7500
3 Ce 0.2500 0.2500 0.2500
4 Li 0.0000 0.0000 0.0000

Summary:
Volume (Å³/cell): 66.9
Raw formation energy (eV per formula unit): -1.4
Raw total energy (eV per atom): -5.987

[17]
A relaxed structure of Ca2ReMo, computed with PBE-GGA.

abc: 10.3923 10.3923 10.3923
angles: 18.54 18.54 18.54
Fractional positions:
1 Re 0.7649 0.7649 0.7649
2 Mo 0.4827 0.4827 0.4827
3 Ca 0.0156 0.0156 0.0156
4 Ca 0.2369 0.2369 0.2369

Summary:
Energy relative to the elements (meV/atom): 621
Volume (Å³/cell): 99.1
Energy above the most stable polymorph in this dataset (meV/atom): 298
Raw total energy (eV per atom): -6.200

[18]
A relaxed structure of RbLi2Ag2Sb2, computed with PBE-GGA.

abc: 4.6820 4.6820 10.0629
angles: 76.55 76.55 60.00
Fractional positions:
1 Rb 0.0000 0.0000 0.0000
2 Li 0.1421 0.1421 0.5738
3 Li 0.8579 0.8579 0.4262
4 Ag 0.5531 0.5531 0.3406
5 Ag 0.4469 0.4469 0.6594
6 Sb 0.7591 0.7591 0.7228
7 Sb 0.2409 0.2409 0.2772

Summary:
Volume (Å³/cell): 184.0
Raw formation energy (eV per formula unit): -2.8
Raw total energy (eV per atom): -3.079

[19]
A relaxed structure of TbPr2UP4, computed with PBE-GGA.

abc: 4.0713 7.0602 7.0943
angles: 109.15 90.00 90.00
Fractional positions:
1 Tb 0.0000 0.0000 0.0000
2 Pr 0.5000 0.0000 0.5000
3 Pr 0.0000 0.5000 0.5000
4 U 0.5000 0.5000 0.0000
5 P 0.5000 0.2521 0.2331
6 P 0.5000 0.7479 0.7669
7 P 0.0000 0.2611 0.7686
8 P 0.0000 0.7389 0.2314

Summary:
Energy relative to the elements (meV/atom): -1400
Volume (Å³/cell): 192.6
Raw total energy (eV per atom): -7.289

[20]
A relaxed structure of Pm6Er7Tm16, computed with PBE-GGA.

abc: 11.0577 11.0577 11.0577
angles: 60.00 60.00 60.00
Fractional positions:
1 Pm 0.2827 0.7173 0.2827
2 Pm 0.7173 0.2827 0.7173
3 Pm 0.7173 0.2827 0.2827
4 Pm 0.2827 0.7173 0.7173
5 Pm 0.7173 0.7173 0.2827
6 Pm 0.2827 0.2827 0.7173
7 Er 0.0000 0.0000 0.0000
8 Er 0.5000 0.0000 0.5000
9 Er 0.0000 0.5000 0.0000
10 Er 0.0000 0.5000 0.5000
11 Er 0.5000 0.0000 0.0000
12 Er 0.0000 0.0000 0.5000
13 Er 0.5000 0.5000 0.0000
14 Tm 0.8777 0.8777 0.3668
15 Tm 0.8777 0.8777 0.8777
16 Tm 0.8777 0.3668 0.8777
17 Tm 0.3668 0.8777 0.8777
18 Tm 0.1223 0.1223 0.1223
19 Tm 0.1223 0.1223 0.6332
20 Tm 0.1223 0.6332 0.1223
21 Tm 0.6332 0.1223 0.1223
22 Tm 0.6546 0.6546 0.0362
23 Tm 0.6546 0.6546 0.6546
24 Tm 0.6546 0.0362 0.6546
25 Tm 0.0362 0.6546 0.6546
26 Tm 0.3454 0.3454 0.3454
27 Tm 0.3454 0.3454 0.9638
28 Tm 0.3454 0.9638 0.3454
29 Tm 0.9638 0.3454 0.3454

Summary:
Energy relative to the elements (meV/atom): 244
Volume (Å³/cell): 956.0
Raw total energy (eV per atom): -4.307

[21]
A relaxed structure of Re2SbMo, computed with PBE-GGA.

abc: 5.0973 5.0973 5.0973
angles: 134.82 134.82 65.82
Fractional positions:
1 Mo 0.7500 0.2500 0.5000
2 Re 0.0000 0.0000 0.0000
3 Re 0.5000 0.5000 0.0000
4 Sb 0.2500 0.7500 0.5000

Summary:
Volume (Å³/cell): 65.6
Raw formation energy (eV per formula unit): 2.1
Raw total energy (eV per atom): -9.428

[22]
A relaxed structure of Sr2TiSb2, computed with PBE-GGA.

abc: 4.6919 4.6919 7.9480
angles: 72.83 72.83 90.00
Fractional positions:
1 Sb 0.4029 0.4029 0.1942
2 Sb 0.5971 0.5971 0.8058
3 Ti 0.0000 0.0000 0.0000
4 Sr 0.7500 0.2500 0.5000
5 Sr 0.2500 0.7500 0.5000

Summary:
Volume (Å³/cell): 159.0
Raw formation energy (eV per formula unit): 1.2
Energy above the most stable polymorph in this dataset (meV/atom): 802
Raw total energy (eV per atom): -3.664

[23]
A relaxed structure of CaRu2Pb, computed with PBE-GGA.

abc: 8.7854 8.7854 8.7854
angles: 21.60 21.60 21.60
Fractional positions:
1 Pb 0.7500 0.7500 0.7500
2 Ru 0.0056 0.0056 0.0056
3 Ru 0.4944 0.4944 0.4944
4 Ca 0.2500 0.2500 0.2500

Summary:
Energy relative to the elements (meV/atom): 621
Volume (Å³/cell): 80.5
Raw total energy (eV per atom): -5.444